# 1
Below is an optimized crystal structure of SmTm7Sc2, with properties calculated at the PBE level.

## Properties
The symmetry is Cmmm.

Lattice parameters (Å, degrees): 5.5249 8.6790 8.6790 120.02 90.00 90.00
Last column: nearest neighbours and their distance in Å.
Fractional positions:
1 Sm 0.0000 0.0000 0.0000  10 Tm 3.57-3.66
2 Tm 0.0000 0.7627 0.2373  2 Sc 2.90
3 Tm 0.0000 0.2373 0.7627  2 Sc 2.90
4 Tm 0.5000 0.0595 0.3010  2 Sc 3.04-3.06, 2 Tm 3.13-3.32
5 Tm 0.5000 0.9405 0.6990  2 Sc 3.04-3.06, 2 Tm 3.13-3.32
6 Tm 0.5000 0.3010 0.0595  2 Sc 3.04-3.06, 2 Tm 3.13-3.32
7 Tm 0.5000 0.6990 0.9405  2 Sc 3.04-3.06, 2 Tm 3.13-3.32
8 Tm 0.5000 0.5000 0.5000  2 Sc 3.07, 4 Tm 3.32
9 Sc 0.5000 0.7042 0.2958  7 Tm 2.90-3.07
10 Sc 0.5000 0.2958 0.7042  7 Tm 2.90-3.07

=====

# 2
Below is an optimized crystal structure of BaLa3Hf, with properties calculated at the PBE level.

## Properties
The symmetry is Pm-3m.

Lattice parameters (Å, degrees): 5.8194 5.8194 5.8194 90.00 90.00 90.00
Last column: nearest neighbours and their distance in Å.
Fractional positions:
1 Hf 0.5000 0.5000 0.5000  12 La 4.11
2 Ba 0.0000 0.0000 0.0000  6 La 2.91
3 La 0.0000 0.5000 0.0000  2 Ba 2.91
4 La 0.0000 0.0000 0.5000  2 Ba 2.91
5 La 0.5000 0.0000 0.0000  2 Ba 2.91

=====

# 3
Below is an optimized crystal structure of Tb4ScZn, with properties calculated at the PBE level.

## Properties
The symmetry is C2/c.

Lattice parameters (Å, degrees): 5.9387 8.9147 8.1820 114.27 99.33 111.63
Last column: nearest neighbours and their distance in Å.
Fractional positions:
1 Tb 0.0468 0.1970 0.8166  2 Zn 3.04-3.14, 1 Sc 3.32
2 Tb 0.7697 0.7079 0.6263  2 Zn 3.05-3.17, 2 Tb 3.29-3.33, 1 Sc 3.32
3 Tb 0.2698 0.6196 0.8166  2 Zn 3.04-3.14, 1 Sc 3.32
4 Tb 0.3566 0.9183 0.6263  2 Zn 3.05-3.17, 2 Tb 3.29-3.33, 1 Sc 3.32
5 Tb 0.6434 0.0817 0.3737  2 Zn 3.05-3.17, 2 Tb 3.29-3.33, 1 Sc 3.32
6 Tb 0.7302 0.3804 0.1834  2 Zn 3.04-3.14, 1 Sc 3.32
7 Tb 0.2303 0.2921 0.3737  2 Zn 3.05-3.17, 2 Tb 3.29-3.33, 1 Sc 3.32
8 Tb 0.9532 0.8030 0.1834  2 Zn 3.04-3.14, 1 Sc 3.32
9 Sc 0.3621 0.6121 0.2242  10 Tb 3.32-3.49
10 Sc 0.6379 0.3879 0.7758  10 Tb 3.32-3.49
11 Zn 0.2482 0.9982 0.9964  2 Zn 2.97, 8 Tb 3.04-3.17
12 Zn 0.7518 0.0018 0.0036  2 Zn 2.97, 8 Tb 3.04-3.17

=====

# 4
Below is an optimized crystal structure of Tb2Tm3Sc3, with properties calculated at the PBE level.

## Properties
The symmetry is C2/m.

Lattice parameters (Å, degrees): 3.4512 5.9355 11.5527 75.31 81.41 90.00
Last column: nearest neighbours and their distance in Å.
Fractional positions:
1 Tb 0.2528 0.2564 0.4943  3 Sc 3.39-3.48, 6 Tb 3.40-3.47, 3 Tm 3.42-3.50
2 Tb 0.7472 0.7436 0.5057  3 Sc 3.39-3.48, 6 Tb 3.40-3.47, 3 Tm 3.42-3.50
3 Tm 0.6225 0.9622 0.7550  6 Sc 3.34-3.46, 3 Tm 3.38-3.45, 3 Tb 3.42-3.50
4 Tm 0.5000 0.5000 0.0000  8 Sc 3.36-3.43, 4 Tm 3.38-3.45
5 Tm 0.3775 0.0378 0.2450  6 Sc 3.34-3.46, 3 Tm 3.38-3.45, 3 Tb 3.42-3.50
6 Sc 0.1227 0.4572 0.7546  6 Tm 3.36-3.46, 3 Sc 3.36-3.45, 3 Tb 3.39-3.48
7 Sc 0.8773 0.5428 0.2454  6 Tm 3.36-3.46, 3 Sc 3.36-3.45, 3 Tb 3.39-3.48
8 Sc 0.0000 0.0000 0.0000  8 Tm 3.34-3.43, 4 Sc 3.36-3.45

=====

Taking the records one at a time from the top gives formation energy values of 678 1229 16 28 meV/atom.
Taking the records one at a time from the top gives mass density values of 6.56 6.17 7.27 7.04 g/cm3.
Taking the records one at a time from the top gives polymorph energy (0 for the lowest one) values of 634.5 824.5 102.0 0.0 meV/atom.